Below is a geometry-optimized CsSrTa structure, with properties calculated at the PBE-GGA level.

It has space group Pnma (No. 62), with a = 4.6330 Å, b = 7.4099 Å, c = 16.9485 Å, α = 90.00°, β = 90.00° and γ = 90.00°. The distinct sites, in fractional coordinates, are Cs at (0.2491, 0.2500, 0.1576), Sr at (0.2490, 0.2500, 0.5757) and Ta at (0.2492, 0.2500, 0.7756).

Its density of states at the Fermi level is 1.325 states/eV/atom. The formation energy is 0.9758 eV/atom. Its crystal system is orthorhombic. The value obtained for the total DFT energy (no corrections) is -3.82 eV per atom. The energy above the most stable polymorph in this dataset is 460 meV/atom.

=====

Below is a geometry-optimized Cs3SrTa structure, with properties calculated at the PBE-GGA level.

It has space group Pm-3m (No. 221), with a = 7.0315 Å, b = 7.0315 Å, c = 7.0315 Å, α = 90.00°, β = 90.00° and γ = 90.00°. The distinct sites, in fractional coordinates, are Cs at (0.0000, 0.0000, 0.5000), Sr at (0.5000, 0.5000, 0.5000) and Ta at (0.0000, 0.0000, 0.0000).

Its density of states at the Fermi level is 0.227 states/eV/atom. The formation energy is 1.3247 eV/atom. Its crystal system is cubic. The value obtained for the total DFT energy (no corrections) is -1.89 eV per atom.